Entry from the Open Quantum Materials Database: a relaxed structure of SmH32C8N4Cl7 (PBE).

Structure (POSCAR):
```
SmH32C8N4Cl7
1.0
-0.504 -10.119 -1.475
4.158 1.599 -12.396
8.180 -0.792 2.642
N H Cl C Sm
8 64 14 16 2
Cartesian
4.669 -8.926 -2.134 N
6.348 -5.663 -8.148 N
2.645 -1.439 -7.577 N
7.685 -0.437 -8.927 N
1.616 -7.140 -6.097 N
8.122 -3.321 1.016 N
11.285 -6.725 -9.799 N
4.966 -3.599 -3.249 N
6.939 0.179 -10.800 H
8.419 -9.425 -4.042 H
2.685 -9.060 -2.844 H
6.392 -8.687 -10.980 H
4.581 -7.903 -1.945 H
4.297 -5.527 -8.644 H
9.146 -1.579 -3.838 H
4.655 -5.611 -6.896 H
7.234 -3.851 1.042 H
5.156 -2.578 -3.139 H
10.739 -2.791 -6.967 H
2.178 -6.837 -4.082 H
11.355 -7.608 -10.385 H
8.687 -9.094 -10.302 H
4.336 -3.426 -5.251 H
10.685 -6.051 -10.306 H
1.924 -2.732 -0.937 H
4.993 -4.094 -7.806 H
1.176 -1.527 -3.013 H
2.448 -7.724 -6.286 H
8.645 -7.252 -1.823 H
8.650 -3.868 -0.953 H
1.009 -8.171 -4.359 H
6.617 -9.102 -1.329 H
7.306 -4.122 -7.073 H
10.658 -6.168 -7.862 H
3.300 -0.999 -6.907 H
3.350 -0.417 -9.284 H
1.158 -4.253 -1.509 H
8.814 -2.040 -5.535 H
3.108 -7.054 -10.653 H
4.440 -4.455 -11.733 H
7.992 -2.432 1.583 H
3.022 -3.348 -4.042 H
6.917 -4.121 -2.634 H
9.650 -0.491 -5.173 H
7.621 -2.403 -0.822 H
2.481 -2.441 -7.265 H
7.417 -0.355 -7.926 H
9.392 -0.195 -10.136 H
6.084 -5.341 -3.653 H
4.842 -1.942 -12.326 H
7.813 -7.737 -4.146 H
8.348 -5.523 -7.486 H
3.812 -4.925 -4.401 H
1.839 -6.143 -6.389 H
7.123 -5.682 -6.187 H
6.385 -6.706 -8.184 H
3.885 -0.475 -0.752 H
5.117 -6.116 -11.840 H
5.717 0.080 -9.493 H
0.697 -6.761 -0.935 H
6.723 -3.825 -4.391 H
5.284 -9.392 -0.174 H
9.660 -7.436 -8.648 H
7.546 -1.438 -9.189 H
9.732 -0.648 -8.442 H
4.209 -1.948 -8.906 H
6.636 -5.326 -9.087 H
8.982 -8.343 -5.358 H
6.175 -0.512 0.051 H
5.022 -9.016 -3.107 H
2.882 -9.296 -1.078 H
4.592 -3.927 -2.337 H
10.024 -3.483 -9.388 Cl
7.340 -8.702 -7.672 Cl
5.955 -1.767 -6.541 Cl
4.907 -7.451 -5.002 Cl
3.133 -0.357 -4.298 Cl
0.165 -0.016 0.053 Cl
6.408 -3.103 -10.234 Cl
3.717 -8.473 -8.540 Cl
6.560 -0.810 -2.889 Cl
9.842 -5.036 -4.347 Cl
6.793 -6.311 -0.231 Cl
7.974 -6.421 -10.839 Cl
3.359 -6.009 -1.662 Cl
4.832 -2.985 -0.076 Cl
10.680 -7.068 -8.489 C
8.460 -2.952 -0.380 C
3.303 -9.514 -2.065 C
7.356 -5.213 -7.149 C
1.000 -3.321 -0.956 C
5.634 -9.562 -1.197 C
9.519 -1.534 -4.866 C
6.269 -4.273 -3.501 C
4.970 -5.186 -7.854 C
6.739 0.375 -9.742 C
9.106 -0.032 -9.093 C
4.473 -5.375 -12.327 C
3.232 -1.452 -8.938 C
1.295 -7.153 -4.650 C
8.675 -8.395 -4.309 C
3.957 -3.845 -4.313 C
4.432 -5.513 0.775 Sm
5.575 0.461 -5.069 Sm
```

Values from the calculation:
- Magnetic moment: 0.01 μB per formula unit
- Final energy: -4.97 eV per atom



Entry from the Open Quantum Materials Database: a relaxed structure of UH18C24N4Cl6 (PBE).

Structure (POSCAR):
```
UH18C24N4Cl6
1.0
7.645 0.000 0.000
0.648 7.972 0.000
1.378 1.267 10.720
H C Cl N U
18 24 6 4 1
Cartesian
1.662 7.883 6.421 H
5.434 7.504 6.831 H
4.237 1.735 3.888 H
6.247 2.217 7.805 H
4.480 6.593 8.964 H
6.580 7.082 4.654 H
3.424 7.022 2.915 H
4.593 6.844 0.907 H
0.726 3.114 2.577 H
7.660 5.470 3.055 H
5.078 2.395 9.813 H
5.191 2.646 1.756 H
8.009 1.356 4.299 H
3.091 2.158 6.066 H
8.945 6.126 8.143 H
4.079 4.621 10.454 H
5.592 4.619 0.266 H
2.011 3.769 7.665 H
4.099 3.796 3.231 C
6.039 4.150 7.160 C
1.774 5.860 7.197 C
3.877 2.729 4.158 C
1.985 6.857 6.222 C
6.421 6.274 5.372 C
4.869 5.605 8.702 C
5.794 6.510 6.562 C
7.897 3.380 3.523 C
3.250 2.965 5.348 C
5.572 5.443 7.489 C
2.168 4.565 6.934 C
6.701 3.883 5.919 C
3.632 5.089 3.560 C
5.171 3.279 9.190 C
4.650 4.522 9.535 C
7.686 2.382 4.498 C
5.021 4.717 1.185 C
6.876 4.965 5.017 C
2.969 5.357 4.801 C
4.500 5.960 1.530 C
2.794 4.275 5.703 C
4.802 3.634 2.018 C
7.503 4.675 3.786 C
2.853 1.067 8.564 Cl
2.068 0.891 1.409 Cl
6.818 8.172 2.156 Cl
8.447 3.711 10.119 Cl
7.603 8.348 9.311 Cl
1.224 5.529 0.601 Cl
7.104 2.613 5.671 N
5.832 3.133 8.038 N
2.567 6.626 5.049 N
3.839 6.106 2.682 N
0.000 0.000 0.000 U
```

Values from the calculation:
- Magnetic moment: 2.00 μB per formula unit
- Final energy: -6.61 eV per atom



Entry from the Open Quantum Materials Database: a relaxed structure of UH24C8N2Cl6 (PBE).

Structure (POSCAR):
```
UH24C8N2Cl6
1.0
2.000 2.648 8.616
3.523 8.393 1.550
-5.124 6.464 4.150
C H Cl N U
8 24 6 2 1
Cartesian
1.484 3.823 3.428 C
0.126 5.536 4.527 C
-1.085 13.682 10.888 C
0.803 12.671 12.072 C
1.206 14.193 10.200 C
0.273 11.969 9.789 C
-0.807 3.312 4.117 C
-0.404 4.834 2.244 C
-1.416 5.237 2.366 H
2.139 4.609 3.034 H
0.133 11.893 12.456 H
0.266 5.612 1.860 H
-0.419 3.979 1.558 H
-0.820 2.469 3.416 H
2.216 13.778 10.093 H
1.454 2.976 2.733 H
0.792 6.308 4.125 H
1.815 12.268 11.950 H
-1.817 3.726 4.224 H
-0.890 5.933 4.631 H
-1.740 12.896 11.282 H
-0.431 2.984 5.093 H
-1.055 14.529 11.584 H
0.818 13.526 12.758 H
-1.444 14.014 9.907 H
0.830 14.521 9.223 H
1.219 15.036 10.900 H
0.496 5.191 5.500 H
-0.393 11.196 10.191 H
1.843 3.491 4.409 H
1.290 11.572 9.685 H
-0.097 12.314 8.816 H
-1.787 8.967 10.510 Cl
3.381 10.120 8.956 Cl
-2.982 7.385 5.360 Cl
-0.876 12.400 6.287 Cl
1.275 5.105 8.030 Cl
2.186 8.538 3.807 Cl
0.299 13.129 10.737 N
0.100 4.376 3.579 N
0.000 0.000 0.000 U
```

Values from the calculation:
- Magnetic moment: 2.00 μB per formula unit
- Final energy: -5.17 eV per atom



| no. | mass density (g/cm³) |
| --- | --- |
| 1 | 1.66 |
| 2 | 2.07 |
| 3 | 1.79 |